No. 1
VASP calculation (PBE) on a geometry-optimized GdTi2Tc structure.

abc: 3.179 3.179 7.697
angles: 90.00 90.00 90.00
Each line ends with the local moment (μB).
Atoms (fractional coordinates):
Ti (0.000, 0.000, 0.815)  -0.03
Gd (0.500, 0.500, 0.500)  7.16
Tc (0.500, 0.500, 0.000)  0.04
Ti (0.000, 0.000, 0.185)  -0.03

Properties
space-group type: P4/mmm (123)
energy of formation: -0.5 eV per formula unit
E: -40.76 eV/cell
mass density: 7.5 g cm⁻³


No. 2
VASP calculation (PBE) on a geometry-optimized GdTiTc4 structure.

abc: 5.288 5.288 5.288
angles: 60.00 60.00 60.00
Each line ends with the local moment (μB).
Atoms (fractional coordinates):
Tc (0.624, 0.624, 0.624)  -0.15
Gd (0.000, 0.000, 0.000)  7.00
Tc (0.127, 0.624, 0.624)  -0.15
Tc (0.624, 0.127, 0.624)  -0.15
Tc (0.624, 0.624, 0.127)  -0.15
Ti (0.250, 0.250, 0.250)  -0.05

Properties
space-group type: F-43m (216)
energy of formation: -0.3 eV per formula unit
E: -63.76 eV/cell
mass density: 9.5 g cm⁻³


No. 3
VASP calculation (PBE) on a geometry-optimized GdTiZnTc structure.

abc: 4.702 4.702 4.702
angles: 60.00 60.00 60.00
Each line ends with the local moment (μB).
Atoms (fractional coordinates):
Ti (0.250, 0.250, 0.250)  0.09
Tc (0.000, 0.000, 0.000)  -0.06
Zn (0.500, 0.500, 0.500)  0.01
Gd (0.750, 0.750, 0.750)  7.03

Properties
space-group type: F-43m (216)
energy of formation: -0.3 eV per formula unit
E: -33.90 eV/cell
mass density: 8.3 g cm⁻³


No. 4
VASP calculation (PBE) on a geometry-optimized GdTm2Tc structure.

abc: 3.440 3.440 8.711
angles: 90.00 90.00 90.00
Each line ends with the local moment (μB).
Atoms (fractional coordinates):
Tm (0.000, 0.000, 0.184)  0.04
Tc (0.500, 0.500, 0.000)  0.23
Tm (0.000, 0.000, 0.816)  0.04
Gd (0.500, 0.500, 0.500)  7.37

Properties
space-group type: P4/mmm (123)
energy of formation: -0.1 eV per formula unit
polymorph energy (0 for the lowest one): 0.00 eV per formula unit
E: -33.52 eV/cell
mass density: 9.6 g cm⁻³


No. 5
VASP calculation (PBE) on a geometry-optimized GdTm2Tc structure.

abc: 5.116 5.116 5.117
angles: 60.01 60.01 60.00
Each line ends with the local moment (μB).
Atoms (fractional coordinates):
Gd (0.500, 0.500, 0.500)  7.09
Tc (0.000, 0.000, 0.000)  -0.14
Tm (0.250, 0.250, 0.250)  0.07
Tm (0.750, 0.750, 0.750)  0.07

Properties
space-group type: Fm-3m (225)
energy of formation: 0.7 eV per formula unit
polymorph energy (0 for the lowest one): 0.80 eV per formula unit
E: -32.72 eV/cell
mass density: 10.4 g cm⁻³


No. 6
VASP calculation (PBE) on a geometry-optimized GdTm3Tc structure.

abc: 5.326 5.326 5.326
angles: 90.00 90.00 90.00
Each line ends with the local moment (μB).
Atoms (fractional coordinates):
Tm (0.000, 0.500, 0.000)  0.02
Gd (0.500, 0.500, 0.500)  7.10
Tm (0.500, 0.000, 0.000)  0.02
Tm (0.000, 0.000, 0.500)  0.02
Tc (0.000, 0.000, 0.000)  -0.11

Properties
space-group type: Pm-3m (221)
energy of formation: 0.5 eV per formula unit
E: -37.37 eV/cell
mass density: 8.4 g cm⁻³


No. 7
VASP calculation (PBE) on a geometry-optimized GdU2Tc structure.

abc: 3.180 3.180 10.209
angles: 81.04 81.04 60.00
Each line ends with the local moment (μB).
Atoms (fractional coordinates):
Tc (0.000, 0.000, 0.000)  -0.14
U (0.739, 0.739, 0.784)  1.37
Gd (0.500, 0.500, 0.500)  7.06
U (0.261, 0.261, 0.216)  1.37

Properties
space-group type: R-3m (166)
energy of formation: 1.6 eV per formula unit
E: -45.44 eV/cell
mass density: 13.8 g cm⁻³


No. 8
VASP calculation (PBE) on a geometry-optimized GdVTc2 structure.

abc: 4.551 4.551 4.551
angles: 60.00 60.00 60.00
Each line ends with the local moment (μB).
Atoms (fractional coordinates):
V (0.000, 0.000, 0.000)  0.52
Tc (0.750, 0.750, 0.750)  -0.23
Tc (0.250, 0.250, 0.250)  -0.23
Gd (0.500, 0.500, 0.500)  6.99

Properties
space-group type: Fm-3m (225)
energy of formation: 0.5 eV per formula unit
polymorph energy (0 for the lowest one): 0.43 eV per formula unit
E: -43.45 eV/cell
mass density: 10.1 g cm⁻³


No. 9
VASP calculation (PBE) on a geometry-optimized GdVTc2 structure.

abc: 3.135 3.135 6.987
angles: 90.00 90.00 90.00
Each line ends with the local moment (μB).
Atoms (fractional coordinates):
Tc (0.000, 0.000, 0.200)  -0.13
V (0.500, 0.500, 0.000)  0.10
Gd (0.500, 0.500, 0.500)  7.04
Tc (0.000, 0.000, 0.800)  -0.13

Properties
space-group type: P4/mmm (123)
energy of formation: 0.1 eV per formula unit
polymorph energy (0 for the lowest one): 0.00 eV per formula unit
E: -43.88 eV/cell
mass density: 9.8 g cm⁻³


No. 10
VASP calculation (PBE) on a geometry-optimized GdV2Tc structure.

abc: 4.196 4.196 5.745
angles: 68.58 68.58 60.00
Each line ends with the local moment (μB).
Atoms (fractional coordinates):
Gd (0.000, 0.000, 0.000)  7.06
V (0.800, 0.800, 0.600)  -0.04
Tc (0.500, 0.500, 0.500)  -0.06
V (0.200, 0.200, 0.400)  -0.04

Properties
space-group type: R-3m (166)
energy of formation: 0.7 eV per formula unit
E: -41.95 eV/cell
mass density: 7.5 g cm⁻³


No. 11
VASP calculation (PBE) on a geometry-optimized GdTc2W structure.

abc: 3.224 4.641 4.641
angles: 90.00 90.00 90.00
Each line ends with the local moment (μB).
Atoms (fractional coordinates):
Tc (0.000, 0.000, 0.500)  -0.23
Gd (0.500, 0.500, 0.500)  6.96
Tc (0.000, 0.500, 0.000)  -0.23
W (0.500, 0.000, 0.000)  0.08

Properties
space-group type: P4/mmm (123)
energy of formation: 0.8 eV per formula unit
E: -46.96 eV/cell
mass density: 12.8 g cm⁻³


No. 12
VASP calculation (PBE) on a geometry-optimized GdTc2W structure.

abc: 3.202 3.202 6.939
angles: 90.00 90.00 90.00
Each line ends with the local moment (μB).
Atoms (fractional coordinates):
Tc (0.000, 0.000, 0.786)  -0.13
W (0.500, 0.500, 0.000)  0.06
Tc (0.000, 0.000, 0.214)  -0.13
Gd (0.500, 0.500, 0.500)  7.04

Properties
space-group type: P4/mmm (123)
energy of formation: 0.2 eV per formula unit
E: -47.54 eV/cell
mass density: 12.5 g cm⁻³


Please write out number 7 again, unchanged.
VASP calculation (PBE) on a geometry-optimized GdU2Tc structure.

abc: 3.180 3.180 10.209
angles: 81.04 81.04 60.00
Each line ends with the local moment (μB).
Atoms (fractional coordinates):
Tc (0.000, 0.000, 0.000)  -0.14
U (0.739, 0.739, 0.784)  1.37
Gd (0.500, 0.500, 0.500)  7.06
U (0.261, 0.261, 0.216)  1.37

Properties
space-group type: R-3m (166)
energy of formation: 1.6 eV per formula unit
E: -45.44 eV/cell
mass density: 13.8 g cm⁻³


Which value of mass density does entry 12 give? 12.5 g cm⁻³


Repeat the second record exactly.
VASP calculation (PBE) on a geometry-optimized GdTiTc4 structure.

abc: 5.288 5.288 5.288
angles: 60.00 60.00 60.00
Each line ends with the local moment (μB).
Atoms (fractional coordinates):
Tc (0.624, 0.624, 0.624)  -0.15
Gd (0.000, 0.000, 0.000)  7.00
Tc (0.127, 0.624, 0.624)  -0.15
Tc (0.624, 0.127, 0.624)  -0.15
Tc (0.624, 0.624, 0.127)  -0.15
Ti (0.250, 0.250, 0.250)  -0.05

Properties
space-group type: F-43m (216)
energy of formation: -0.3 eV per formula unit
E: -63.76 eV/cell
mass density: 9.5 g cm⁻³